[1]
TbTmNiPt, relaxed, DFT PBE; final energy = -6.060 eV/atom; calculated formation energy = -829 meV per atom
1.0
-3.746 2.906 -1.040
-4.057 -0.226 2.654
-1.149 3.644 2.993
Ni Tm Tb Pt
1 1 1 1
Direct
0.250 0.250 0.250 Ni
0.000 0.000 0.000 Tm
0.500 0.500 0.500 Tb
0.750 0.750 0.750 Pt


[2]
TbTmNiPt, relaxed, DFT PBE; final energy = -6.117 eV/atom; calculated formation energy = -886 meV per atom
1.0
-2.065 -3.166 -0.433
0.114 -0.658 4.269
-3.263 4.312 0.752
Tb Tm Ni Pt
1 1 1 1
Direct
0.142 0.000 0.284 Tb
0.861 0.500 0.722 Tm
0.420 0.000 0.840 Ni
0.577 0.500 0.154 Pt


[3]
TbYNiPt, relaxed, DFT PBE; final energy = -6.586 eV/atom; calculated formation energy = -856 meV per atom
1.0
-3.203 -1.245 1.728
2.254 -0.823 3.585
0.649 5.439 0.840
Tb Y Ni Pt
1 1 1 1
Direct
0.141 0.000 0.281 Tb
0.860 0.500 0.720 Y
0.422 0.000 0.843 Ni
0.578 0.500 0.155 Pt


[4]
TbYNiPt, relaxed, DFT PBE; final energy = -6.516 eV/atom; calculated formation energy = -787 meV per atom
1.0
4.894 0.000 0.000
2.447 4.238 0.000
2.447 1.413 3.996
Y Ni Tb Pt
1 1 1 1
Direct
0.500 0.500 0.500 Y
0.250 0.250 0.250 Ni
0.000 0.000 0.000 Tb
0.750 0.750 0.750 Pt


Copy entry 1 word for word.
TbTmNiPt, relaxed, DFT PBE; final energy = -6.060 eV/atom; calculated formation energy = -829 meV per atom
1.0
-3.746 2.906 -1.040
-4.057 -0.226 2.654
-1.149 3.644 2.993
Ni Tm Tb Pt
1 1 1 1
Direct
0.250 0.250 0.250 Ni
0.000 0.000 0.000 Tm
0.500 0.500 0.500 Tb
0.750 0.750 0.750 Pt